# 1
TiRe2Pt after structural relaxation, computed with PBE-GGA.

Cell lengths 4.4297, 4.4297, 4.4297 Å; angles 60.00, 60.00, 60.00 degrees
Sites, in units of the cell vectors:
Ti1 0.0000 0.0000 0.0000
Re1 0.2500 0.2500 0.2500
Re2 0.7500 0.7500 0.7500
Pt1 0.5000 0.5000 0.5000

Calculated values
Energy of formation in eV per formula unit: 0.5
Mass density in g/cm³: 16.6
Calculated volume in Å³ per cell: 61
Space-group type: Fm-3m, No. 225
Size of the total moment in μB/cell: 0.000

---

# 2
TiRePt after structural relaxation, computed with PBE-GGA.

Cell lengths 12.9880, 2.7697, 2.7697 Å; angles 68.21, 90.00, 90.00 degrees
Sites, in units of the cell vectors:
Ti1 0.1624 0.0000 0.0000
Ti2 0.8376 0.0000 0.0000
Re1 0.0000 0.4980 0.4980
Re2 0.5000 0.9362 0.9362
Pt1 0.3320 0.5860 0.5860
Pt2 0.6680 0.5860 0.5860

Calculated values
Energy of formation in eV per formula unit: -1.0
Mass density in g/cm³: 15.4
Calculated volume in Å³ per cell: 93
Space-group type: Amm2, No. 38
Size of the total moment in μB/cell: 0.000

---

# 3
Ti2RePt after structural relaxation, computed with PBE-GGA.

Cell lengths 9.1034, 9.1034, 9.1034 Å; angles 154.59, 154.59, 36.25 degrees
Sites, in units of the cell vectors:
Ti1 0.1195 0.6250 0.9945
Ti2 0.3750 0.3695 0.4945
Ti3 0.6305 0.1250 0.0055
Ti4 0.8750 0.8805 0.5055
Re1 0.0000 0.0000 0.0000
Re2 0.7500 0.2500 0.5000
Pt1 0.2500 0.7500 0.5000
Pt2 0.5000 0.5000 0.0000

Calculated values
Energy of formation in eV per formula unit: 1.0
Mass density in g/cm³: 11.4
Calculated volume in Å³ per cell: 139
Space-group type: I-42d, No. 122
Size of the total moment in μB/cell: 0.898

---

# 4
Ti2RePt after structural relaxation, computed with PBE-GGA.

Cell lengths 4.4300, 4.4300, 4.4300 Å; angles 60.00, 60.00, 60.00 degrees
Sites, in units of the cell vectors:
Ti1 0.2500 0.2500 0.2500
Ti2 0.7500 0.7500 0.7500
Re1 0.0000 0.0000 0.0000
Pt1 0.5000 0.5000 0.5000

Calculated values
Energy of formation in eV per formula unit: -2.7
Mass density in g/cm³: 12.9
Calculated volume in Å³ per cell: 61
Space-group type: Fm-3m, No. 225
Size of the total moment in μB/cell: 0.000

---

# 5
TiRePt3 after structural relaxation, computed with PBE-GGA.

Cell lengths 4.7991, 4.7991, 4.7991 Å; angles 90.00, 90.00, 90.00 degrees
Sites, in units of the cell vectors:
Ti1 0.0000 0.0000 0.0000
Re1 0.5000 0.5000 0.5000
Pt1 0.0000 0.5000 0.5000
Pt2 0.5000 0.0000 0.5000
Pt3 0.5000 0.5000 0.0000

Calculated values
Energy of formation in eV per formula unit: 5.4
Mass density in g/cm³: 12.3
Calculated volume in Å³ per cell: 111
Space-group type: Pm-3m, No. 221
Size of the total moment in μB/cell: 0.000

---

# 6
TiVRePt after structural relaxation, computed with PBE-GGA.

Cell lengths 4.3796, 4.3796, 4.3796 Å; angles 60.00, 60.00, 60.00 degrees
Sites, in units of the cell vectors:
Ti1 0.0000 0.0000 0.0000
V1 0.5000 0.5000 0.5000
Re1 0.7500 0.7500 0.7500
Pt1 0.2500 0.2500 0.2500

Calculated values
Energy of formation in eV per formula unit: -1.7
Mass density in g/cm³: 13.4
Calculated volume in Å³ per cell: 59
Space-group type: F-43m, No. 216
Size of the total moment in μB/cell: 0.000

---

> The highest size of the total moment belongs to which entry?

number 3